A) ## CsTlIn2 (GGA-PBE)

Data for crystalline CsTlIn2 at its relaxed geometry.

a b c (Å): 7.872 7.872 7.872
angles (deg): 38.48 38.48 38.48
Element x y z (fractional)
Cs 0.000 0.000 0.000
Tl 0.500 0.500 0.500
In 0.209 0.209 0.209
In 0.791 0.791 0.791

Calculated values
- SG = No. 166
- total magnetization (μB per atom) = 0.00

B) ## CsTlIn2 (GGA-PBE)

Data for crystalline CsTlIn2 at its relaxed geometry.

a b c (Å): 5.833 5.833 5.833
angles (deg): 60.00 60.00 60.00
Element x y z (fractional)
Cs 0.000 0.000 0.000
Tl 0.500 0.500 0.500
In 0.250 0.250 0.250
In 0.750 0.750 0.750

Calculated values
- SG = No. 225
- total magnetization (μB per atom) = 0.00

Most favorable structure: A). The second most favorable one is 144 meV/atom above it.

A) ## Cs3Tl3In2 (GGA-PBE)

Data for crystalline Cs3Tl3In2 at its relaxed geometry.

a b c (Å): 8.094 8.094 18.377
angles (deg): 90.00 90.00 143.02
Element x y z (fractional)
Cs 0.145 0.855 0.552
Cs 0.145 0.855 0.948
Cs 0.250 0.750 0.750
Cs 0.750 0.250 0.250
Cs 0.855 0.145 0.052
Cs 0.855 0.145 0.448
Tl 0.446 0.554 0.586
Tl 0.446 0.554 0.914
Tl 0.447 0.553 0.250
Tl 0.553 0.447 0.750
Tl 0.554 0.446 0.086
Tl 0.554 0.446 0.414
In 0.074 0.926 0.172
In 0.074 0.926 0.328
In 0.926 0.074 0.672
In 0.926 0.074 0.828

Calculated values
- SG = No. 63
- total magnetization (μB per atom) = 0.00

B) ## Cs3Tl3In2 (GGA-PBE)

Data for crystalline Cs3Tl3In2 at its relaxed geometry.

a b c (Å): 7.683 7.683 19.546
angles (deg): 90.00 90.00 141.45
Element x y z (fractional)
Cs 0.038 0.962 0.605
Cs 0.038 0.962 0.895
Cs 0.362 0.638 0.750
Cs 0.638 0.362 0.250
Cs 0.962 0.038 0.105
Cs 0.962 0.038 0.395
Tl 0.327 0.673 0.532
Tl 0.327 0.673 0.968
Tl 0.352 0.648 0.250
Tl 0.648 0.352 0.750
Tl 0.673 0.327 0.032
Tl 0.673 0.327 0.468
In 0.248 0.752 0.111
In 0.248 0.752 0.389
In 0.752 0.248 0.611
In 0.752 0.248 0.889

Calculated values
- SG = No. 63
- total magnetization (μB per atom) = 0.00

Most favorable structure: A). The second most favorable one is 8 meV/atom above it.

A) ## CsTl5In2 (GGA-PBE)

Data for crystalline CsTl5In2 at its relaxed geometry.

a b c (Å): 9.959 9.959 9.959
angles (deg): 128.57 128.57 75.70
Element x y z (fractional)
Cs 0.250 0.250 0.000
Cs 0.750 0.750 0.000
Tl 0.000 0.000 0.000
Tl 0.007 0.507 0.770
Tl 0.237 0.007 0.500
Tl 0.263 0.763 0.770
Tl 0.493 0.263 0.500
Tl 0.500 0.500 0.000
Tl 0.507 0.737 0.500
Tl 0.737 0.237 0.230
Tl 0.763 0.993 0.500
Tl 0.993 0.493 0.230
In 0.163 0.337 0.500
In 0.337 0.837 0.175
In 0.663 0.163 0.825
In 0.837 0.663 0.500

Calculated values
- SG = No. 140
- total magnetization (μB per atom) = 0.00

B) ## CsTl5In2 (GGA-PBE)

Data for crystalline CsTl5In2 at its relaxed geometry.

a b c (Å): 8.242 8.242 8.242
angles (deg): 145.90 114.12 76.31
Element x y z (fractional)
Cs 0.000 0.000 0.000
Tl 0.167 0.362 0.805
Tl 0.443 0.638 0.805
Tl 0.500 0.000 0.500
Tl 0.557 0.362 0.195
Tl 0.833 0.638 0.195
In 0.258 0.758 0.500
In 0.742 0.242 0.500

Calculated values
- SG = No. 71
- total magnetization (μB per atom) = 0.00

Most favorable structure: B). The second most favorable one is 46 meV/atom above it.

A) ## CsTl3In (GGA-PBE)

Data for crystalline CsTl3In at its relaxed geometry.

a b c (Å): 6.555 6.555 6.555
angles (deg): 90.00 90.00 90.00
Element x y z (fractional)
Cs 0.000 0.000 0.000
Tl 0.000 0.000 0.500
Tl 0.000 0.500 0.000
Tl 0.500 0.000 0.000
In 0.500 0.500 0.500

Calculated values
- SG = No. 221
- total magnetization (μB per atom) = 0.00

B) ## CsTl3In (GGA-PBE)

Data for crystalline CsTl3In at its relaxed geometry.

a b c (Å): 6.049 6.049 6.049
angles (deg): 90.00 90.00 90.00
Element x y z (fractional)
Cs 0.000 0.000 0.000
Tl 0.000 0.500 0.500
Tl 0.500 0.000 0.500
Tl 0.500 0.500 0.000
In 0.500 0.500 0.500

Calculated values
- SG = No. 221
- total magnetization (μB per atom) = 0.00

C) ## CsTl3In (GGA-PBE)

Data for crystalline CsTl3In at its relaxed geometry.

a b c (Å): 10.039 10.039 7.858
angles (deg): 100.29 100.29 71.92
Element x y z (fractional)
Cs 0.012 0.988 0.750
Cs 0.353 0.647 0.250
Cs 0.647 0.353 0.750
Cs 0.988 0.012 0.250
Tl 0.013 0.353 0.600
Tl 0.031 0.356 0.087
Tl 0.295 0.318 0.408
Tl 0.318 0.295 0.908
Tl 0.353 0.013 0.100
Tl 0.356 0.031 0.587
Tl 0.644 0.969 0.413
Tl 0.647 0.987 0.900
Tl 0.682 0.705 0.092
Tl 0.705 0.682 0.592
Tl 0.969 0.644 0.913
Tl 0.987 0.647 0.400
In 0.233 0.573 0.724
In 0.427 0.767 0.776
In 0.573 0.233 0.224
In 0.767 0.427 0.276

Calculated values
- SG = No. 15
- total magnetization (μB per atom) = 0.00

Most favorable structure: C). The second most favorable one is 164 meV/atom above it.

A) ## CsTl8In2 (GGA-PBE)

Data for crystalline CsTl8In2 at its relaxed geometry.

a b c (Å): 6.531 6.531 11.263
angles (deg): 90.00 90.00 90.00
Element x y z (fractional)
Cs 0.000 0.000 0.000
Tl 0.251 0.251 0.301
Tl 0.251 0.251 0.699
Tl 0.251 0.749 0.301
Tl 0.251 0.749 0.699
Tl 0.749 0.251 0.301
Tl 0.749 0.251 0.699
Tl 0.749 0.749 0.301
Tl 0.749 0.749 0.699
In 0.000 0.500 0.500
In 0.500 0.000 0.500

Calculated values
- SG = No. 123
- total magnetization (μB per atom) = 0.00

B) ## CsTl8In2 (GGA-PBE)

Data for crystalline CsTl8In2 at its relaxed geometry.

a b c (Å): 5.680 5.680 12.582
angles (deg): 90.00 90.00 90.00
Element x y z (fractional)
Cs 0.000 0.000 0.000
Tl 0.000 0.500 0.223
Tl 0.000 0.500 0.500
Tl 0.000 0.500 0.777
Tl 0.500 0.000 0.223
Tl 0.500 0.000 0.500
Tl 0.500 0.000 0.777
Tl 0.500 0.500 0.359
Tl 0.500 0.500 0.641
In 0.000 0.000 0.362
In 0.000 0.000 0.638

Calculated values
- SG = No. 123
- total magnetization (μB per atom) = 0.00

Most favorable structure: B). The second most favorable one is 107 meV/atom above it.

A) ## CsTl2ZnIn (GGA-PBE)

Data for crystalline CsTl2ZnIn at its relaxed geometry.

a b c (Å): 6.092 6.092 5.365
angles (deg): 90.00 90.00 90.00
Element x y z (fractional)
Cs 0.000 0.000 0.000
Tl 0.000 0.500 0.500
Tl 0.500 0.000 0.500
Zn 0.500 0.500 0.000
In 0.500 0.500 0.500

Calculated values
- SG = No. 123
- total magnetization (μB per atom) = 0.00

B) ## CsTl2ZnIn (GGA-PBE)

Data for crystalline CsTl2ZnIn at its relaxed geometry.

a b c (Å): 5.874 5.874 5.289
angles (deg): 90.00 90.00 90.00
Element x y z (fractional)
Cs 0.000 0.000 0.000
Tl 0.000 0.500 0.500
Tl 0.500 0.000 0.500
Zn 0.500 0.500 0.500
In 0.500 0.500 0.000

Calculated values
- SG = No. 123
- total magnetization (μB per atom) = 0.00

Most favorable structure: B). The second most favorable one is 38 meV/atom above it.

A) ## Cs2VIn (GGA-PBE)

Data for crystalline Cs2VIn at its relaxed geometry.

a b c (Å): 6.372 6.372 6.372
angles (deg): 60.00 60.00 60.00
Element x y z (fractional)
Cs 0.250 0.250 0.250
Cs 0.750 0.750 0.750
V 0.000 0.000 0.000
In 0.500 0.500 0.500

Calculated values
- SG = No. 225
- total magnetization (μB per atom) = 0.03

B) ## Cs2VIn (GGA-PBE)

Data for crystalline Cs2VIn at its relaxed geometry.

a b c (Å): 10.176 10.176 10.176
angles (deg): 94.11 94.11 148.94
Element x y z (fractional)
Cs 0.375 0.067 0.192
Cs 0.817 0.625 0.692
Cs 0.875 0.183 0.808
Cs 0.933 0.125 0.308
V 0.000 0.000 0.000
V 0.750 0.250 0.500
In 0.250 0.750 0.500
In 0.500 0.500 0.000

Calculated values
- SG = No. 122
- total magnetization (μB per atom) = 0.93

Most favorable structure: B). The second most favorable one is 667 meV/atom above it.

A) ## CsVIn3 (GGA-PBE)

Data for crystalline CsVIn3 at its relaxed geometry.

a b c (Å): 5.420 5.420 5.420
angles (deg): 90.00 90.00 90.00
Element x y z (fractional)
Cs 0.000 0.000 0.000
V 0.500 0.500 0.500
In 0.000 0.500 0.500
In 0.500 0.000 0.500
In 0.500 0.500 0.000

Calculated values
- SG = No. 221
- total magnetization (μB per atom) = 0.00

B) ## CsVIn3 (GGA-PBE)

Data for crystalline CsVIn3 at its relaxed geometry.

a b c (Å): 6.297 6.297 6.297
angles (deg): 90.00 90.00 90.00
Element x y z (fractional)
Cs 0.000 0.000 0.000
V 0.500 0.500 0.500
In 0.000 0.000 0.500
In 0.000 0.500 0.000
In 0.500 0.000 0.000

Calculated values
- SG = No. 221
- total magnetization (μB per atom) = 0.86

Most favorable structure: A). The second most favorable one is 1421 meV/atom above it.

A) ## CsY3In (GGA-PBE)

Data for crystalline CsY3In at its relaxed geometry.

a b c (Å): 5.623 5.623 5.623
angles (deg): 90.00 90.00 90.00
Element x y z (fractional)
Cs 0.000 0.000 0.000
Y 0.000 0.000 0.500
Y 0.000 0.500 0.000
Y 0.500 0.000 0.000
In 0.500 0.500 0.500

Calculated values
- SG = No. 221
- total magnetization (μB per atom) = 0.00

B) ## CsY3In (GGA-PBE)

Data for crystalline CsY3In at its relaxed geometry.

a b c (Å): 5.960 5.960 5.960
angles (deg): 90.00 90.00 90.00
Element x y z (fractional)
Cs 0.000 0.000 0.000
Y 0.000 0.500 0.500
Y 0.500 0.000 0.500
Y 0.500 0.500 0.000
In 0.500 0.500 0.500

Calculated values
- SG = No. 221
- total magnetization (μB per atom) = 0.00

Most favorable structure: B). The second most favorable one is 748 meV/atom above it.

A) ## CsZn3In (GGA-PBE)

Data for crystalline CsZn3In at its relaxed geometry.

a b c (Å): 6.464 6.464 6.464
angles (deg): 90.00 90.00 90.00
Element x y z (fractional)
Cs 0.000 0.000 0.000
Zn 0.000 0.000 0.500
Zn 0.000 0.500 0.000
Zn 0.500 0.000 0.000
In 0.500 0.500 0.500

Calculated values
- SG = No. 221
- total magnetization (μB per atom) = 0.00

B) ## CsZn3In (GGA-PBE)

Data for crystalline CsZn3In at its relaxed geometry.

a b c (Å): 5.504 5.504 5.504
angles (deg): 90.00 90.00 90.00
Element x y z (fractional)
Cs 0.000 0.000 0.000
Zn 0.000 0.500 0.500
Zn 0.500 0.000 0.500
Zn 0.500 0.500 0.000
In 0.500 0.500 0.500

Calculated values
- SG = No. 221
- total magnetization (μB per atom) = 0.00

Most favorable structure: B). The second most favorable one is 675 meV/atom above it.

A) ## CsZr2In2 (GGA-PBE)

Data for crystalline CsZr2In2 at its relaxed geometry.

a b c (Å): 7.585 7.585 7.585
angles (deg): 143.61 143.61 52.41
Element x y z (fractional)
Cs 0.000 0.000 0.000
Zr 0.388 0.388 0.000
Zr 0.612 0.612 0.000
In 0.250 0.750 0.500
In 0.750 0.250 0.500

Calculated values
- SG = No. 139
- total magnetization (μB per atom) = 0.00

B) ## CsZr2In2 (GGA-PBE)

Data for crystalline CsZr2In2 at its relaxed geometry.

a b c (Å): 9.822 9.822 9.822
angles (deg): 154.80 154.80 35.94
Element x y z (fractional)
Cs 0.000 0.000 0.000
Zr 0.250 0.750 0.500
Zr 0.750 0.250 0.500
In 0.367 0.367 0.000
In 0.633 0.633 0.000

Calculated values
- SG = No. 139
- total magnetization (μB per atom) = 0.00

Most favorable structure: B). The second most favorable one is 279 meV/atom above it.

A) ## CsIr (GGA-PBE)

Data for crystalline CsIr at its relaxed geometry.

a b c (Å): 4.292 4.292 4.292
angles (deg): 60.00 60.00 60.00
Element x y z (fractional)
Cs 0.000 0.000 0.000
Ir 0.500 0.500 0.500

Calculated values
- SG = No. 225
- total magnetization (μB per atom) = 0.19

B) ## CsIr (GGA-PBE)

Data for crystalline CsIr at its relaxed geometry.

a b c (Å): 3.207 3.207 6.041
angles (deg): 96.69 96.69 120.90
Element x y z (fractional)
Cs 0.000 0.000 0.000
Ir 0.741 0.259 0.500

Calculated values
- SG = No. 5
- total magnetization (μB per atom) = 0.21

Most favorable structure: B). The second most favorable one is 604 meV/atom above it.